The following is a meta-GGA SCAN calculation of a PBEsol-optimized structure of AlZnCuOs2, from Alexandria.

Computed properties:
Space group: No. 123
Volume (Å³ per cell): 83.13
Uncorrected energy (eV per atom): -34.5997

Geometry as POSCAR:
```
AlZnCuOs2
1.0
-2.069 1.341 -3.340
-3.816 -0.069 2.336
0.699 4.235 1.267
Zn Os Al Cu
1 2 1 1
Direct
0.500 0.500 0.500
0.000 0.000 0.500
0.000 0.500 0.000
0.500 0.000 0.000
0.000 0.000 0.000
```